LaSc2Cl | SCAN | PBEsol geometry

VASP energy ... -20.550 eV/atom
D(E_F) ... 0.63 states/eV per atom
Theoretical density ... 4.77 g/cm3
Polymorph energy (0 for the lowest one) ... 6 meV per atom
ΔE_f (raw) ... -2.64 eV per formula unit

Cell: 9.3906 9.3906 9.3906 Å, 20.87 20.87 20.87°
Fractional coordinates of all 4 atoms:
La1 0.0000 0.0000 0.0000
Sc1 0.2367 0.2367 0.2367
Sc2 0.7633 0.7633 0.7633
Cl1 0.5000 0.5000 0.5000